Record 1
Density functional theory data (meta-GGA SCAN) for a crystal of Sr2SeBr relaxed with PBEsol.

Values from the calculation:
- Magnetization: 0.00 μB per cell
- Fermi-level density of states: 8.67 states/eV per cell
- ΔE_f (raw): -1.70 eV/atom

The structure in CIF format:
```
data_Sr2SeBr
_space_group_name_H-M_alt 'F m -3 m'
_space_group_IT_number 225
_space_group_name_Hall '-F 4 2 3'
_cell_length_a 7.533
_cell_length_b 7.533
_cell_length_c 7.533
_cell_angle_alpha 90.00
_cell_angle_beta 90.00
_cell_angle_gamma 90.00
loop_
_atom_site_label
_atom_site_type_symbol
_atom_site_fract_x
_atom_site_fract_y
_atom_site_fract_z
Sr1 Sr 0.250 0.250 0.250
Se1 Se 0.000 0.000 0.000
Br1 Br 0.000 0.000 0.500
```

---

Record 2
Density functional theory data (meta-GGA SCAN) for a crystal of SrTeSeBr2 relaxed with PBEsol.

Values from the calculation:
- Magnetization: 0.00 μB per cell
- Fermi-level density of states: 1.71 states/eV per cell
- ΔE_f (raw): -0.74 eV/atom

The structure in CIF format:
```
data_SrTeSeBr2
_space_group_name_H-M_alt 'P 4/m m m'
_space_group_IT_number 123
_space_group_name_Hall '-P 4 2'
_cell_length_a 5.629
_cell_length_b 5.629
_cell_length_c 5.445
_cell_angle_alpha 90.00
_cell_angle_beta 90.00
_cell_angle_gamma 90.00
loop_
_atom_site_label
_atom_site_type_symbol
_atom_site_fract_x
_atom_site_fract_y
_atom_site_fract_z
Sr1 Sr 0.000 0.000 0.000
Te1 Te 0.500 0.500 0.500
Se1 Se 0.500 0.500 0.000
Br1 Br 0.000 0.500 0.500
```

---

Record 3
Density functional theory data (meta-GGA SCAN) for a crystal of SrWSe2Br relaxed with PBEsol.

Values from the calculation:
- Magnetization: 0.00 μB per cell
- Fermi-level density of states: 2.61 states/eV per cell
- ΔE_f (raw): -0.56 eV/atom

The structure in CIF format:
```
data_SrWSe2Br
_space_group_name_H-M_alt 'P 4/m m m'
_space_group_IT_number 123
_space_group_name_Hall '-P 4 2'
_cell_length_a 4.885
_cell_length_b 4.885
_cell_length_c 5.324
_cell_angle_alpha 90.00
_cell_angle_beta 90.00
_cell_angle_gamma 90.00
loop_
_atom_site_label
_atom_site_type_symbol
_atom_site_fract_x
_atom_site_fract_y
_atom_site_fract_z
Sr1 Sr 0.000 0.000 0.000
W1 W 0.500 0.500 0.500
Se1 Se 0.000 0.500 0.500
Br1 Br 0.500 0.500 0.000
```

---

Record 4
Density functional theory data (meta-GGA SCAN) for a crystal of SrYSe2Br relaxed with PBEsol.

Values from the calculation:
- Magnetization: 0.00 μB per cell
- Fermi-level density of states: 0.28 states/eV per cell
- ΔE_f (raw): -0.90 eV/atom

The structure in CIF format:
```
data_SrYSe2Br
_space_group_name_H-M_alt 'P 4/m m m'
_space_group_IT_number 123
_space_group_name_Hall '-P 4 2'
_cell_length_a 5.606
_cell_length_b 5.606
_cell_length_c 5.329
_cell_angle_alpha 90.00
_cell_angle_beta 90.00
_cell_angle_gamma 90.00
loop_
_atom_site_label
_atom_site_type_symbol
_atom_site_fract_x
_atom_site_fract_y
_atom_site_fract_z
Sr1 Sr 0.000 0.000 0.000
Y1 Y 0.500 0.500 0.500
Se1 Se 0.000 0.500 0.000
Br1 Br 0.000 0.000 0.500
```

---

- Which formula does entry 4 have?
  SrYSe2Br